(1)
Pm2Tm7Th: optimized geometry, PBE.

Computed properties:
ΔH_f (0 K)   708.3 meV/atom
Energy   -4.11 eV per atom
DOS at the Fermi energy   15.0 states/eV/cell

Cell: 9.915 9.915 4.923 Å, 90.00 90.00 129.33°
Positions (direct):
Pm 0.200 0.800 0.000
Pm 0.800 0.200 0.000
Tm 0.000 0.000 0.000
Tm 0.217 0.421 0.000
Tm 0.310 0.690 0.500
Tm 0.421 0.217 0.000
Tm 0.579 0.783 0.000
Tm 0.690 0.310 0.500
Tm 0.783 0.579 0.000
Th 0.500 0.500 0.500



(2)
BaSrNF: optimized geometry, PBE.

Computed properties:
Formation energy (no corrections)   -1.7659 eV per atom
Energy   -5.22 eV per atom
DOS at the Fermi energy   0.0 states/eV/cell

Cell: 7.116 7.116 7.116 Å, 31.29 31.29 31.29°
Positions (direct):
Ba 0.000 0.000 0.000
Sr 0.812 0.812 0.812
N 0.408 0.408 0.408
F 0.222 0.222 0.222



(3)
ReSbMo2: optimized geometry, PBE.

Computed properties:
Formation energy (no corrections)   0.3871 eV per atom
Energy   -9.17 eV per atom
DOS at the Fermi energy   3.2 states/eV/cell

Cell: 5.203 5.203 5.203 Å, 136.19 136.19 63.69°
Positions (direct):
Re 0.000 0.000 0.000
Sb 0.250 0.750 0.500
Mo 0.500 0.500 0.000
Mo 0.750 0.250 0.500



(4)
KNa2Ca: optimized geometry, PBE.

Computed properties:
ΔH_f (0 K)   106.1 meV/atom
Energy   -1.33 eV per atom
Energy above the most stable polymorph in this dataset   0.037 eV per atom
DOS at the Fermi energy   3.0 states/eV/cell

Cell: 6.342 6.342 6.342 Å, 60.00 60.00 60.00°
Positions (direct):
K 0.000 0.000 0.000
Na 0.250 0.250 0.250
Na 0.750 0.750 0.750
Ca 0.500 0.500 0.500



(5)
SrPmCl5: optimized geometry, PBE.

Computed properties:
Formation energy (no corrections)   -2.3206 eV per atom
Energy   -4.56 eV per atom
Energy above the most stable polymorph in this dataset   0.000 eV per atom
DOS at the Fermi energy   0.0 states/eV/cell

Cell: 7.244 13.735 10.220 Å, 90.00 109.52 90.00°
Positions (direct):
Sr 0.034 0.018 0.256
Sr 0.034 0.482 0.756
Sr 0.966 0.518 0.244
Sr 0.966 0.982 0.744
Pm 0.395 0.244 0.603
Pm 0.395 0.256 0.103
Pm 0.605 0.744 0.897
Pm 0.605 0.756 0.397
Cl 0.078 0.118 0.555
Cl 0.078 0.382 0.055
Cl 0.142 0.105 0.993
Cl 0.142 0.395 0.493
Cl 0.288 0.649 0.363
Cl 0.288 0.851 0.863
Cl 0.345 0.180 0.338
Cl 0.345 0.320 0.838
Cl 0.388 0.589 0.784
Cl 0.388 0.911 0.284
Cl 0.612 0.089 0.716
Cl 0.612 0.411 0.216
Cl 0.655 0.680 0.162
Cl 0.655 0.820 0.662
Cl 0.712 0.149 0.137
Cl 0.712 0.351 0.637
Cl 0.858 0.605 0.507
Cl 0.858 0.895 0.007
Cl 0.922 0.618 0.945
Cl 0.922 0.882 0.445



(6)
TlPd5Pb2: optimized geometry, PBE.

Computed properties:
ΔH_f (0 K)   -167.2 meV/atom
Energy   -4.64 eV per atom
DOS at the Fermi energy   3.8 states/eV/cell

Cell: 5.806 5.806 5.806 Å, 109.75 109.75 108.92°
Positions (direct):
Tl 0.000 0.000 0.000
Pd 0.077 0.077 0.552
Pd 0.077 0.525 0.000
Pd 0.525 0.077 0.000
Pd 0.525 0.525 0.448
Pd 0.584 0.584 0.000
Pb 0.056 0.556 0.500
Pb 0.556 0.056 0.500



(7)
AlV3Pb: optimized geometry, PBE.

Computed properties:
ΔH_f (0 K)   1741.3 meV/atom
Energy   -5.22 eV per atom
Energy above the most stable polymorph in this dataset   0.730 eV per atom
DOS at the Fermi energy   12.9 states/eV/cell

Cell: 5.086 5.086 5.086 Å, 90.00 90.00 90.00°
Positions (direct):
Al 0.000 0.000 0.000
V 0.000 0.500 0.500
V 0.500 0.000 0.500
V 0.500 0.500 0.000
Pb 0.500 0.500 0.500



(8)
AlRu3: optimized geometry, PBE.

Computed properties:
ΔH_f (0 K)   -92.0 meV/atom
Energy   -7.98 eV per atom
DOS at the Fermi energy   4.4 states/eV/cell

Cell: 2.738 3.999 5.210 Å, 90.00 100.95 90.00°
Positions (direct):
Al 0.000 0.000 0.000
Ru 0.000 0.000 0.500
Ru 0.410 0.500 0.245
Ru 0.590 0.500 0.755



(9)
ScFeBr2: optimized geometry, PBE.

Computed properties:
Formation energy (no corrections)   -0.2741 eV per atom
Energy   -4.81 eV per atom
Energy above the most stable polymorph in this dataset   0.278 eV per atom
DOS at the Fermi energy   6.7 states/eV/cell

Cell: 9.050 9.050 9.050 Å, 21.91 21.91 21.91°
Positions (direct):
Sc 0.000 0.000 0.000
Fe 0.500 0.500 0.500
Br 0.404 0.404 0.404
Br 0.596 0.596 0.596



(10)
SmThNb: optimized geometry, PBE.

Computed properties:
ΔH_f (0 K)   252.5 meV/atom
Energy   -7.15 eV per atom
DOS at the Fermi energy   8.0 states/eV/cell

Cell: 6.885 6.885 5.214 Å, 92.56 92.56 43.12°
Positions (direct):
Sm 0.099 0.099 0.279
Sm 0.901 0.901 0.721
Th 0.392 0.392 0.264
Th 0.608 0.608 0.736
Nb 0.248 0.248 0.829
Nb 0.752 0.752 0.171



(11)
MgCu2Ir: optimized geometry, PBE.

Computed properties:
ΔH_f (0 K)   270.6 meV/atom
Energy   -4.39 eV per atom
DOS at the Fermi energy   4.5 states/eV/cell

Cell: 9.449 9.449 9.449 Å, 157.66 157.66 31.79°
Positions (direct):
Mg 0.000 0.000 0.000
Mg 0.750 0.250 0.500
Cu 0.142 0.625 0.017
Cu 0.375 0.392 0.517
Cu 0.608 0.125 0.983
Cu 0.875 0.858 0.483
Ir 0.250 0.750 0.500
Ir 0.500 0.500 0.000



(12)
Sc2SiSe: optimized geometry, PBE.

Computed properties:
Formation energy (no corrections)   -0.8874 eV per atom
Energy   -6.28 eV per atom
Energy above the most stable polymorph in this dataset   0.363 eV per atom
DOS at the Fermi energy   2.0 states/eV/cell

Cell: 3.314 3.314 7.211 Å, 90.00 90.00 102.42°
Positions (direct):
Sc 0.000 0.000 0.246
Sc 0.000 0.000 0.754
Si 0.500 0.500 0.000
Se 0.500 0.500 0.500